Entry from OQMD: a relaxed HoSi2TcOs crystal (PBE-GGA).

```
HoSi2TcOs
1.0
-2.0842 2.0842 4.8779
2.0842 -2.0842 4.8779
2.0842 2.0842 -4.8779
Tc Si Os Ho
1 2 1 1
Direct
0.2500 0.7500 0.5000
0.3739 0.3739 0.0000
0.6261 0.6261 0.0000
0.7500 0.2500 0.5000
0.0000 0.0000 0.0000
```

Output
The space group is I-4m2. The total energy comes out at -40.4 eV per cell. Its size of the total moment is 0.1 μB/f.u.